# 1
Material: LaSmSc2
Method: DFT, GGA-PBE
State: relaxed

a b c (Å): 4.4049 5.1776 5.1776
angles (deg): 90.00 90.00 90.00
With the nearest neighbours (Å) after each atom.
Positions (direct):
Sc 0.0000 0.0000 0.5000  4 La 3.40, 4 Sm 3.40, 4 Sc 3.66
Sm 0.5000 0.5000 0.5000  8 Sc 3.40, 4 La 3.66
Sc 0.0000 0.5000 0.0000  4 La 3.40, 4 Sm 3.40, 4 Sc 3.66
La 0.5000 0.0000 0.0000  8 Sc 3.40, 4 Sm 3.66

Values from the calculation:
The value obtained for the energy above the most stable polymorph in this dataset is 2.7 meV per atom. As for the energy relative to the elements: 1.3 kcal/mol of atoms.

---

# 2
Material: SbPb2Au
Method: DFT, GGA-PBE
State: relaxed

a b c (Å): 4.4347 4.4347 7.5088
angles (deg): 72.82 72.82 60.00
With the nearest neighbours (Å) after each atom.
Positions (direct):
Sb 0.5021 0.5021 0.4938  6 Pb 3.16-3.25, 1 Au 3.50
Pb 0.2561 0.2561 0.2316  3 Au 3.04, 3 Sb 3.16
Au 0.6672 0.6672 0.9983  6 Pb 3.00-3.04
Pb 0.0746 0.0746 0.7763  3 Au 3.00, 3 Sb 3.25

Values from the calculation:
The value obtained for the uncorrected formation energy is 0.026 eV per atom.

---

# 3
Material: TbGa2Si
Method: DFT, GGA-PBE
State: relaxed

a b c (Å): 3.1835 3.1835 10.0388
angles (deg): 80.88 80.88 60.00
With the nearest neighbours (Å) after each atom.
Positions (direct):
Ga 0.9174 0.9174 0.2477  1 Si 2.44
Ga 0.0826 0.0826 0.7523  1 Si 2.44
Tb 0.5000 0.5000 0.5000  6 Ga 3.09, 6 Tb 3.18
Si 0.0000 0.0000 0.0000  2 Ga 2.44

Values from the calculation:
The value obtained for the uncorrected formation energy is 0.130 eV per atom. The value obtained for the energy above the most stable polymorph in this dataset is 562.9 meV per atom.

---

# 4
Material: Nd4TcHg
Method: DFT, GGA-PBE
State: relaxed

a b c (Å): 6.4674 7.9012 7.9012
angles (deg): 112.10 99.20 99.20
With the nearest neighbours (Å) after each atom.
Positions (direct):
Tc 0.7500 0.9997 0.0003  8 Nd 2.89-3.15, 2 Tc 3.23
Nd 0.5423 0.2759 0.9371  2 Tc 2.89
Tc 0.2500 0.0003 0.9997  8 Nd 2.89-3.15, 2 Tc 3.23
Nd 0.9027 0.6331 0.7937  2 Tc 3.05-3.15, 2 Hg 3.26-3.37
Nd 0.5973 0.2063 0.3669  2 Tc 3.05-3.15, 2 Hg 3.26-3.37
Hg 0.2500 0.3757 0.6243  8 Nd 3.26-3.40
Nd 0.4027 0.7937 0.6331  2 Tc 3.05-3.15, 2 Hg 3.26-3.37
Nd 0.0423 0.9371 0.2759  2 Tc 2.89
Hg 0.7500 0.6243 0.3757  8 Nd 3.26-3.40
Nd 0.0973 0.3669 0.2063  2 Tc 3.05-3.15, 2 Hg 3.26-3.37
Nd 0.4577 0.7241 0.0629  2 Tc 2.89
Nd 0.9577 0.0629 0.7241  2 Tc 2.89

Values from the calculation:
As for the energy relative to the elements: -4.1 kcal/mol of atoms.

---

# 5
Material: Ba2Tl4AgPd3
Method: DFT, GGA-PBE
State: relaxed

a b c (Å): 4.9819 4.9819 10.9491
angles (deg): 90.00 90.00 90.00
With the nearest neighbours (Å) after each atom.
Positions (direct):
Pd 0.0000 0.0000 0.5000  4 Tl 2.83
Ba 0.0000 0.5000 0.7422  2 Ag 3.64, 6 Pd 3.64-3.81, 9 Tl 3.76-4.00
Ag 0.5000 0.5000 0.5000  4 Tl 2.83
Ba 0.5000 0.0000 0.2578  2 Ag 3.64, 6 Pd 3.64-3.81, 9 Tl 3.76-4.00
Tl 0.5000 0.0000 0.6230  3 Pd 2.75-2.83, 2 Ag 2.83
Tl 0.0000 0.5000 0.3770  3 Pd 2.75-2.83, 2 Ag 2.83
Tl 0.5000 0.5000 0.0000  4 Pd 2.85
Tl 0.0000 0.0000 0.0000  4 Pd 2.85
Pd 0.5000 0.0000 0.8741  5 Tl 2.75-2.85
Pd 0.0000 0.5000 0.1259  5 Tl 2.75-2.85

Values from the calculation:
As for the energy relative to the elements: -8.1 kcal/mol of atoms.

---

# 6
Material: BaCeZnHg
Method: DFT, GGA-PBE
State: relaxed

a b c (Å): 5.5967 5.5967 5.5967
angles (deg): 60.00 60.00 60.00
With the nearest neighbours (Å) after each atom.
Positions (direct):
Hg 0.5000 0.5000 0.5000  4 Ba 3.43, 4 Ce 3.43
Ba 0.2500 0.2500 0.2500  4 Zn 3.43, 4 Hg 3.43
Zn 0.0000 0.0000 0.0000  4 Ce 3.43, 4 Ba 3.43
Ce 0.7500 0.7500 0.7500  4 Hg 3.43, 4 Zn 3.43

Values from the calculation:
As for the energy relative to the elements: -3.5 kcal/mol of atoms.

---

# 7
Material: BaPm2AuO5
Method: DFT, GGA-PBE
State: relaxed

a b c (Å): 6.2133 6.7813 6.7813
angles (deg): 90.00 90.00 90.00
With the nearest neighbours (Å) after each atom.
Positions (direct):
Au 0.0000 0.0000 0.5000  4 O 2.14
Ba 0.0000 0.0000 0.0000  10 O 3.07-3.11, 4 Au 3.39
Au 0.0000 0.5000 0.0000  4 O 2.14
O 0.5000 0.5000 0.5000  4 Pm 2.51
O 0.7375 0.1447 0.6447  1 Au 2.14, 1 Pm 2.29
O 0.2625 0.3553 0.1447  1 Au 2.14, 1 Pm 2.29
O 0.2625 0.6447 0.8553  1 Au 2.14, 1 Pm 2.29
Pm 0.5000 0.6730 0.1730  4 O 2.29-2.51
O 0.7375 0.3553 0.1447  1 Au 2.14, 1 Pm 2.29
O 0.2625 0.1447 0.6447  1 Au 2.14, 1 Pm 2.29
O 0.2625 0.8553 0.3553  1 Au 2.14, 1 Pm 2.29
O 0.7375 0.6447 0.8553  1 Au 2.14, 1 Pm 2.29
O 0.5000 0.0000 0.0000  4 Pm 2.51
Ba 0.0000 0.5000 0.5000  10 O 3.07-3.11, 4 Au 3.39
Pm 0.5000 0.8270 0.6730  4 O 2.29-2.51
Pm 0.5000 0.1730 0.3270  4 O 2.29-2.51
O 0.7375 0.8553 0.3553  1 Au 2.14, 1 Pm 2.29
Pm 0.5000 0.3270 0.8270  4 O 2.29-2.51

Values from the calculation:
The value obtained for the uncorrected formation energy is -2.407 eV per atom.

---

# 8
Material: BaTa2Ir2
Method: DFT, GGA-PBE
State: relaxed

a b c (Å): 4.5238 4.5238 6.4218
angles (deg): 69.38 69.38 90.00
With the nearest neighbours (Å) after each atom.
Positions (direct):
Ta 0.7500 0.2500 0.5000  4 Ir 2.60
Ir 0.3650 0.3650 0.2700  4 Ta 2.60
Ba 0.0000 0.0000 0.0000  8 Ir 3.53, 8 Ta 3.59
Ta 0.2500 0.7500 0.5000  4 Ir 2.60
Ir 0.6350 0.6350 0.7300  4 Ta 2.60

Values from the calculation:
As for the energy relative to the elements: -8.1 kcal/mol of atoms.

---

# 9
Material: Tb3Er2Th
Method: DFT, GGA-PBE
State: relaxed

a b c (Å): 6.3879 8.0605 8.0605
angles (deg): 71.35 90.00 90.00
With the nearest neighbours (Å) after each atom.
Positions (direct):
Er 0.5534 0.8693 0.5070  2 Th 3.18-3.25, 3 Tb 3.37-3.44, 1 Er 3.41
Tb 0.5766 0.6131 0.2491  4 Tb 3.36-3.67, 4 Er 3.37-3.69, 1 Th 3.74
Tb 0.0766 0.7509 0.3869  4 Tb 3.36-3.67, 4 Er 3.37-3.69, 1 Th 3.74
Th 0.8590 0.8296 0.8296  4 Er 3.18-3.25, 3 Tb 3.25-3.49
Er 0.0534 0.1307 0.4930  2 Th 3.18-3.25, 3 Tb 3.37-3.44, 1 Er 3.41
Er 0.5534 0.5070 0.8693  2 Th 3.18-3.25, 3 Tb 3.37-3.44, 1 Er 3.41
Th 0.3590 0.1704 0.1704  4 Er 3.18-3.25, 3 Tb 3.25-3.49
Tb 0.0766 0.3869 0.7509  4 Tb 3.36-3.67, 4 Er 3.37-3.69, 1 Th 3.74
Tb 0.5766 0.2491 0.6131  4 Tb 3.36-3.67, 4 Er 3.37-3.69, 1 Th 3.74
Tb 0.8390 0.0878 0.0878  3 Th 3.25-3.49, 2 Tb 3.36
Tb 0.3390 0.9122 0.9122  3 Th 3.25-3.49, 2 Tb 3.36
Er 0.0534 0.4930 0.1307  2 Th 3.18-3.25, 3 Tb 3.37-3.44, 1 Er 3.41

Values from the calculation:
The value obtained for the energy above the most stable polymorph in this dataset is 0.0 meV per atom. As for the energy relative to the elements: 5.7 kcal/mol of atoms.

---

# 10
Material: CaAlIn2
Method: DFT, GGA-PBE
State: relaxed

a b c (Å): 3.7385 3.7390 7.1944
angles (deg): 90.00 90.00 92.35
With the nearest neighbours (Å) after each atom.
Positions (direct):
Ca 0.5000 0.5000 0.7500  8 In 3.32-3.41, 2 Al 3.60
Al 0.5000 0.5000 0.2500  8 In 3.00-3.09
In 0.0000 0.0000 0.0391  4 Al 3.00-3.09, 1 In 3.03, 2 Ca 3.32
In 0.0000 0.0000 0.4609  4 Al 3.00-3.09, 1 In 3.03, 2 Ca 3.32

Values from the calculation:
As for the energy relative to the elements: -3.9 kcal/mol of atoms.

---

# 11
Material: SbP2Rh
Method: DFT, GGA-PBE
State: relaxed

a b c (Å): 3.7441 3.7441 6.2524
angles (deg): 72.67 72.67 59.72
With the nearest neighbours (Å) after each atom.
Positions (direct):
P 0.4847 0.4847 0.5492  3 Rh 2.46
Sb 0.2500 0.2500 0.2500  6 P 2.78-2.79
P 0.0153 0.0153 0.9508  3 Rh 2.46
Rh 0.7500 0.7500 0.7500  6 P 2.46

Values from the calculation:
The value obtained for the uncorrected formation energy is -0.037 eV per atom.

---

# 12
Material: Na2HfRuO6
Method: DFT, GGA-PBE
State: relaxed

a b c (Å): 3.9921 5.6246 5.6246
angles (deg): 90.00 90.00 90.00
With the nearest neighbours (Å) after each atom.
Positions (direct):
O 0.1447 0.5000 0.5000  2 Hf 2.00
Na 0.1453 0.0000 0.5000  12 O 2.81-2.82
O 0.6445 0.7601 0.2399  1 Ru 1.91, 1 Hf 2.07
O 0.6445 0.2399 0.7601  1 Ru 1.91, 1 Hf 2.07
Hf 0.6447 0.5000 0.5000  6 O 2.00-2.07
Ru 0.6444 0.0000 0.0000  6 O 1.91-2.00
O 0.6445 0.2399 0.2399  1 Ru 1.91, 1 Hf 2.07
O 0.1446 0.0000 0.0000  2 Ru 2.00
O 0.6445 0.7601 0.7601  1 Ru 1.91, 1 Hf 2.07
Na 0.1453 0.5000 0.0000  12 O 2.81-2.82

Values from the calculation:
The value obtained for the uncorrected formation energy is -1.853 eV per atom.

---

Number 1: magnetization 0.00 μB/f.u.. Number 2: magnetization 0.00 μB/f.u.. Number 3: magnetization 0.00 μB/f.u.. Number 4: magnetization 0.00 μB/f.u.. Number 5: magnetization 0.00 μB/f.u.. Number 6: magnetization 1.09 μB/f.u.. Number 7: magnetization 1.02 μB/f.u.. Number 8: magnetization 0.00 μB/f.u.. Number 9: magnetization 0.01 μB/f.u.. Number 10: magnetization 0.00 μB/f.u.. Number 11: magnetization 0.00 μB/f.u.. Number 12: magnetization 1.03 μB/f.u..